# GGA-PBEsol CsNbAu3, relaxed
data_CsNbAu3
_chemical_formula_sum 'Cs1 Nb1 Au3'
_cell_length_a 5.220
_cell_length_b 5.220
_cell_length_c 5.220
_cell_angle_alpha 90.00
_cell_angle_beta 90.00
_cell_angle_gamma 90.00
_symmetry_space_group_name_H-M 'P 1'
_symmetry_Int_Tables_number 1
loop_
_symmetry_equiv_pos_as_xyz
'x,y,z'
loop_
_atom_site_label
_atom_site_type_symbol
_atom_site_fract_x
_atom_site_fract_y
_atom_site_fract_z
Cs1 Cs 0.500 0.500 0.500
Nb1 Nb 0.000 0.000 0.000
Au1 Au 0.000 0.500 0.000
Au2 Au 0.000 0.000 0.500
Au3 Au 0.500 0.000 0.000
# - total energy (eV/atom) = -4.2471
# - magnetization (μB/atom) = 0.000


# GGA-PBEsol YHoCo4, relaxed
data_YHoCo4
_chemical_formula_sum 'Y1 Ho1 Co4'
_cell_length_a 4.966
_cell_length_b 4.966
_cell_length_c 4.966
_cell_angle_alpha 60.00
_cell_angle_beta 60.00
_cell_angle_gamma 60.00
_symmetry_space_group_name_H-M 'P 1'
_symmetry_Int_Tables_number 1
loop_
_symmetry_equiv_pos_as_xyz
'x,y,z'
loop_
_atom_site_label
_atom_site_type_symbol
_atom_site_fract_x
_atom_site_fract_y
_atom_site_fract_z
Y1 Y 0.000 0.000 0.000
Co1 Co 0.874 0.375 0.375
Co2 Co 0.375 0.375 0.375
Co3 Co 0.375 0.874 0.375
Co4 Co 0.375 0.375 0.874
Ho1 Ho 0.750 0.750 0.750
# - total energy (eV/atom) = -7.3341
# - magnetization (μB/atom) = 0.564


| no. | theoretical density (g cm⁻³) | DFT formation energy (meV/atom) |
| --- | --- | --- |
| 1 | 9.5 | 460 |
| 2 | 9.4 | -214 |